# 1
Computed, not measured: an optimized crystal structure of SiIr2Cl at the PBE level of DFT.

Properties
Formation energy without anion corrections (kJ/mol of atoms): 41
Energy relative to the lowest polymorph listed for this composition (meV per atom): 652

Structure (CIF):
```
data_SiIr2Cl
_chemical_formula_sum 'Si1 Ir2 Cl1'
_symmetry_space_group_name_H-M 'P 1 2/m 1'
_symmetry_Int_Tables_number 10
_cell_length_a 4.165
_cell_length_b 2.806
_cell_length_c 5.242
_cell_angle_alpha 90.00
_cell_angle_beta 100.72
_cell_angle_gamma 90.00
loop_
_symmetry_equiv_pos_as_xyz
'x,y,z'
'-x,-y,-z'
'-x,y,-z'
'x,-y,z'
loop_
_atom_site_label
_atom_site_fract_x
_atom_site_fract_y
_atom_site_fract_z
_atom_site_occupancy
Si1 0.000 0.000 0.000 1
Ir1 0.500 0.000 0.500 1
Ir2 0.500 0.500 0.000 1
Cl1 0.000 0.500 0.500 1
```

# 2
Computed, not measured: an optimized crystal structure of TbHoBe at the PBE level of DFT.

Properties
ΔE_f (meV/atom): 384
Energy relative to the lowest polymorph listed for this composition (meV per atom): 297

Structure (CIF):
```
data_TbHoBe
_chemical_formula_sum 'Tb4 Ho4 Be4'
_symmetry_space_group_name_H-M 'P 41 21 2'
_symmetry_Int_Tables_number 92
_cell_length_a 6.826
_cell_length_b 6.826
_cell_length_c 7.171
_cell_angle_alpha 90.00
_cell_angle_beta 90.00
_cell_angle_gamma 90.00
loop_
_symmetry_equiv_pos_as_xyz
'x,y,z'
'-y+1/2,x+1/2,z+1/4'
'-x,-y,z+1/2'
'y+1/2,-x+1/2,z+3/4'
'x+1/2,-y+1/2,-z+3/4'
'-y,-x,-z+1/2'
'-x+1/2,y+1/2,-z+1/4'
'y,x,-z'
loop_
_atom_site_label
_atom_site_fract_x
_atom_site_fract_y
_atom_site_fract_z
_atom_site_occupancy
Tb1 0.218 0.218 0.000 1
Ho1 0.216 0.216 0.500 1
Be1 0.003 0.997 0.750 1
```

# 3
Computed, not measured: an optimized crystal structure of Cu2OsN at the PBE level of DFT.

Properties
Formation energy without anion corrections (kJ/mol of atoms): 70

Structure (CIF):
```
data_Cu2OsN
_chemical_formula_sum 'Cu8 Os4 N4'
_symmetry_space_group_name_H-M 'I -4 2 d'
_symmetry_Int_Tables_number 122
_symmetry_space_group_name_Hall 'I -4 2bw'
_cell_length_a 7.097
_cell_length_b 7.097
_cell_length_c 3.894
_cell_angle_alpha 90.00
_cell_angle_beta 90.00
_cell_angle_gamma 90.00
loop_
_atom_site_label
_atom_site_fract_x
_atom_site_fract_y
_atom_site_fract_z
_atom_site_occupancy
Cu1 0.160 0.250 0.125 1
Os1 0.000 0.000 0.500 1
N1 0.000 0.000 0.000 1
```

# 4
Computed, not measured: an optimized crystal structure of TaIn2SiN at the PBE level of DFT.

Properties
Formation energy without anion corrections (kJ/mol of atoms): 174

Structure (CIF):
```
data_TaIn2SiN
_chemical_formula_sum 'Ta1 In2 Si1 N1'
_symmetry_space_group_name_H-M 'P 4/m m m'
_symmetry_Int_Tables_number 123
_symmetry_space_group_name_Hall '-P 4 2'
_cell_length_a 4.958
_cell_length_b 4.958
_cell_length_c 4.753
_cell_angle_alpha 90.00
_cell_angle_beta 90.00
_cell_angle_gamma 90.00
loop_
_atom_site_label
_atom_site_fract_x
_atom_site_fract_y
_atom_site_fract_z
_atom_site_occupancy
Ta1 0.000 0.000 0.000 1
In1 0.000 0.500 0.500 1
Si1 0.000 0.000 0.500 1
N1 0.500 0.500 0.000 1
```

# 5
Computed, not measured: an optimized crystal structure of LaBiAsBr2 at the PBE level of DFT.

Properties
Formation energy without anion corrections (kJ/mol of atoms): -50
Energy relative to the lowest polymorph listed for this composition (meV per atom): 0

Structure (CIF):
```
data_LaBiAsBr2
_chemical_formula_sum 'La1 Bi1 As1 Br2'
_symmetry_space_group_name_H-M 'P 4/m m m'
_symmetry_Int_Tables_number 123
_symmetry_space_group_name_Hall '-P 4 2'
_cell_length_a 5.673
_cell_length_b 5.673
_cell_length_c 6.222
_cell_angle_alpha 90.00
_cell_angle_beta 90.00
_cell_angle_gamma 90.00
loop_
_atom_site_label
_atom_site_fract_x
_atom_site_fract_y
_atom_site_fract_z
_atom_site_occupancy
La1 0.000 0.000 0.000 1
Bi1 0.500 0.500 0.500 1
As1 0.000 0.000 0.500 1
Br1 0.000 0.500 0.000 1
```

# 6
Computed, not measured: an optimized crystal structure of AcYNiSn at the PBE level of DFT.

Properties
ΔE_f (meV/atom): -318

Structure (CIF):
```
data_AcYNiSn
_chemical_formula_sum 'Ac4 Y4 Ni4 Sn4'
_symmetry_space_group_name_H-M 'F -4 3 m'
_symmetry_Int_Tables_number 216
_symmetry_space_group_name_Hall 'F -4 2 3'
_cell_length_a 7.586
_cell_length_b 7.586
_cell_length_c 7.586
_cell_angle_alpha 90.00
_cell_angle_beta 90.00
_cell_angle_gamma 90.00
loop_
_atom_site_label
_atom_site_fract_x
_atom_site_fract_y
_atom_site_fract_z
_atom_site_occupancy
Ac1 0.000 0.000 0.000 1
Y1 0.000 0.000 0.500 1
Ni1 0.250 0.250 0.750 1
Sn1 0.250 0.250 0.250 1
```

# 7
Computed, not measured: an optimized crystal structure of RbTeCl5 at the PBE level of DFT.

Properties
Formation energy without anion corrections (kJ/mol of atoms): -94

Structure (CIF):
```
data_RbTeCl5
_chemical_formula_sum 'Rb4 Te4 Cl20'
_symmetry_space_group_name_H-M 'C 1 2/c 1'
_symmetry_Int_Tables_number 15
_cell_length_a 12.406
_cell_length_b 8.424
_cell_length_c 10.625
_cell_angle_alpha 90.00
_cell_angle_beta 114.15
_cell_angle_gamma 90.00
loop_
_symmetry_equiv_pos_as_xyz
'x,y,z'
'-x,-y,-z'
'-x,y,-z+1/2'
'x,-y,z+1/2'
'x+1/2,y+1/2,z'
'-x+1/2,-y+1/2,-z'
'-x+1/2,y+1/2,-z+1/2'
'x+1/2,-y+1/2,z+1/2'
loop_
_atom_site_label
_atom_site_fract_x
_atom_site_fract_y
_atom_site_fract_z
_atom_site_occupancy
Rb1 0.000 0.026 0.250 1
Te1 0.000 0.500 0.000 1
Cl1 0.000 0.453 0.250 1
Cl2 0.090 0.226 0.020 1
Cl3 0.201 0.377 0.611 1
```

# 8
Computed, not measured: an optimized crystal structure of Y4Ho9Hg11 at the PBE level of DFT.

Properties
ΔE_f (meV/atom): -376

Structure (CIF):
```
data_Y4Ho9Hg11
_chemical_formula_sum 'Y8 Ho18 Hg22'
_symmetry_space_group_name_H-M 'C m m m'
_symmetry_Int_Tables_number 65
_symmetry_space_group_name_Hall '-C 2 2'
_cell_length_a 15.777
_cell_length_b 22.372
_cell_length_c 3.538
_cell_angle_alpha 90.00
_cell_angle_beta 90.00
_cell_angle_gamma 90.00
loop_
_atom_site_label
_atom_site_fract_x
_atom_site_fract_y
_atom_site_fract_z
_atom_site_occupancy
Y1 0.163 0.085 0.000 1
Ho1 0.000 0.000 0.000 1
Ho2 0.113 0.409 0.000 1
Ho3 0.115 0.236 0.000 1
Hg1 0.000 0.129 0.500 1
Hg2 0.000 0.321 0.500 1
Hg3 0.000 0.500 0.500 1
Hg4 0.220 0.500 0.500 1
Hg5 0.233 0.321 0.500 1
```

# 9
Computed, not measured: an optimized crystal structure of BaMg3Zn at the PBE level of DFT.

Properties
ΔE_f (meV/atom): -75
Energy relative to the lowest polymorph listed for this composition (meV per atom): 0

Structure (CIF):
```
data_BaMg3Zn
_chemical_formula_sum 'Ba2 Mg6 Zn2'
_symmetry_space_group_name_H-M 'P 1 21/m 1'
_symmetry_Int_Tables_number 11
_cell_length_a 5.891
_cell_length_b 7.434
_cell_length_c 6.658
_cell_angle_alpha 90.00
_cell_angle_beta 102.97
_cell_angle_gamma 90.00
loop_
_symmetry_equiv_pos_as_xyz
'x,y,z'
'-x,-y,-z'
'-x,y+1/2,-z'
'x,-y+1/2,z'
loop_
_atom_site_label
_atom_site_fract_x
_atom_site_fract_y
_atom_site_fract_z
_atom_site_occupancy
Ba1 0.197 0.250 0.222 1
Mg1 0.202 0.750 0.381 1
Mg2 0.301 0.038 0.730 1
Zn1 0.353 0.750 0.023 1
```

# 10
Computed, not measured: an optimized crystal structure of La2InSF at the PBE level of DFT.

Properties
Formation energy without anion corrections (kJ/mol of atoms): -66

Structure (CIF):
```
data_La2InSF
_chemical_formula_sum 'La2 In1 S1 F1'
_symmetry_space_group_name_H-M 'P 4/m m m'
_symmetry_Int_Tables_number 123
_symmetry_space_group_name_Hall '-P 4 2'
_cell_length_a 5.966
_cell_length_b 5.966
_cell_length_c 4.465
_cell_angle_alpha 90.00
_cell_angle_beta 90.00
_cell_angle_gamma 90.00
loop_
_atom_site_label
_atom_site_fract_x
_atom_site_fract_y
_atom_site_fract_z
_atom_site_occupancy
La1 0.000 0.500 0.000 1
In1 0.000 0.000 0.000 1
S1 0.500 0.500 0.500 1
F1 0.000 0.000 0.500 1
```

# 11
Computed, not measured: an optimized crystal structure of NdTiGa4 at the PBE level of DFT.

Properties
ΔE_f (meV/atom): -348

Structure (CIF):
```
data_NdTiGa4
_chemical_formula_sum 'Nd4 Ti4 Ga16'
_symmetry_space_group_name_H-M 'F -4 3 m'
_symmetry_Int_Tables_number 216
_symmetry_space_group_name_Hall 'F -4 2 3'
_cell_length_a 7.647
_cell_length_b 7.647
_cell_length_c 7.647
_cell_angle_alpha 90.00
_cell_angle_beta 90.00
_cell_angle_gamma 90.00
loop_
_atom_site_label
_atom_site_fract_x
_atom_site_fract_y
_atom_site_fract_z
_atom_site_occupancy
Nd1 0.000 0.000 0.000 1
Ti1 0.250 0.250 0.750 1
Ga1 0.124 0.124 0.376 1
```

# 12
Computed, not measured: an optimized crystal structure of Ca3AcPt8 at the PBE level of DFT.

Properties
ΔE_f (meV/atom): -918

Structure (CIF):
```
data_Ca3AcPt8
_chemical_formula_sum 'Ca3 Ac1 Pt8'
_symmetry_space_group_name_H-M 'P 3 m 1'
_symmetry_Int_Tables_number 156
_cell_length_a 5.5088
_cell_length_b 5.5088
_cell_length_c 9.0641
_cell_angle_alpha 90.00
_cell_angle_beta 90.00
_cell_angle_gamma 120.00
loop_
_symmetry_equiv_pos_as_xyz
'x,y,z'
'-y,x-y,z'
'-x+y,-x,z'
'-y,-x,z'
'-x+y,y,z'
'x,x-y,z'
loop_
_atom_site_label
_atom_site_fract_x
_atom_site_fract_y
_atom_site_fract_z
_atom_site_occupancy
Ca1 0.0000 0.0000 0.0000 1
Ca2 0.0000 0.0000 0.3595 1
Ca3 0.3333 0.6667 0.8856 1
Ac1 0.3333 0.6667 0.5084 1
Pt1 0.0037 0.5019 0.1866 1
Pt2 0.3289 0.1645 0.6928 1
Pt3 0.6667 0.3333 0.4379 1
Pt4 0.6667 0.3333 0.9399 1
```

One value per record, in order, for raw total energy: -5.82; -3.93; -6.21; -4.42; -3.87; -5.41; -2.88; -3.31; -1.67; -4.40; -4.48; -5.79 eV per atom.